A plane-wave DFT calculation with PBE with a Hubbard U was carried out for an optimized crystal structure of AcPmWO6.

Cell: 5.185 5.728 5.728 Å, 120.00 90.00 90.00°
Sites, in units of the cell vectors:
Ac 0.000 0.333 0.667
O 0.713 0.286 0.004
O 0.287 0.996 0.714
O 0.713 0.718 0.714
O 0.713 0.996 0.282
O 0.287 0.718 0.004
O 0.287 0.286 0.282
W 0.500 0.000 0.000
Pm 0.500 0.667 0.333

total magnetization = 0.000 Bohr magnetons per cell
SG = No. 149
calculated total energy = -7.95 eV per atom